The following is a DFT calculation (SCAN) of K3Ba7Ti10O27F3 at its PBEsol-relaxed geometry.

Cell: 3.946 3.946 40.255 Å, 90.00 90.00 90.00°
Atoms (fractional coordinates):
K (0.000, 0.000, 0.000)
K (0.000, 0.000, 0.098)
K (0.000, 0.000, 0.799)
Ba (0.000, 0.000, 0.199)
Ba (0.000, 0.000, 0.299)
Ba (0.000, 0.000, 0.399)
Ba (0.000, 0.000, 0.499)
Ba (0.000, 0.000, 0.599)
Ba (0.000, 0.000, 0.699)
Ba (0.000, 0.000, 0.899)
Ti (0.500, 0.500, 0.049)
Ti (0.500, 0.500, 0.152)
Ti (0.500, 0.500, 0.250)
Ti (0.500, 0.500, 0.349)
Ti (0.500, 0.500, 0.449)
Ti (0.500, 0.500, 0.549)
Ti (0.500, 0.500, 0.648)
Ti (0.500, 0.500, 0.746)
Ti (0.500, 0.500, 0.850)
Ti (0.500, 0.500, 0.947)
O (0.000, 0.500, 0.049)
O (0.000, 0.500, 0.150)
O (0.000, 0.500, 0.250)
O (0.000, 0.500, 0.349)
O (0.000, 0.500, 0.449)
O (0.000, 0.500, 0.549)
O (0.000, 0.500, 0.648)
O (0.000, 0.500, 0.748)
O (0.000, 0.500, 0.849)
O (0.000, 0.500, 0.948)
O (0.500, 0.000, 0.049)
O (0.500, 0.000, 0.150)
O (0.500, 0.000, 0.250)
O (0.500, 0.000, 0.349)
O (0.500, 0.000, 0.449)
O (0.500, 0.000, 0.549)
O (0.500, 0.000, 0.648)
O (0.500, 0.000, 0.748)
O (0.500, 0.000, 0.849)
O (0.500, 0.000, 0.948)
O (0.500, 0.500, 0.200)
O (0.500, 0.500, 0.300)
O (0.500, 0.500, 0.399)
O (0.500, 0.500, 0.499)
O (0.500, 0.500, 0.599)
O (0.500, 0.500, 0.698)
O (0.500, 0.500, 0.899)
F (0.500, 0.500, 0.100)
F (0.500, 0.500, 0.799)
F (0.500, 0.500, 0.999)

Output
- Space-group type: P4mm (99)
- ρ: 5.4 g cm⁻³
- Formation energy without anion corrections: -3.29 eV per atom
- Electronic total energy: -805.48 eV per cell
- Spin magnetization: 0.0 Bohr magnetons per cell



The following is a DFT calculation (SCAN) of KTaTc2 at its PBEsol-relaxed geometry.

Cell: 4.806 4.806 2.955 Å, 90.00 90.00 90.00°
Atoms (fractional coordinates):
K (0.000, 0.000, 0.000)
Ta (0.500, 0.500, 0.000)
Tc (0.000, 0.500, 0.500)
Tc (0.500, 0.000, 0.500)

Output
- Space-group type: P4/mmm (123)
- ρ: 10.1 g cm⁻³
- Energy of formation from the pure elements: 1.4188 eV/atom
- Electronic total energy: -139.36 eV per cell
- Spin magnetization: 0.0 Bohr magnetons per cell



The following is a DFT calculation (SCAN) of CeSi3Ru at its PBEsol-relaxed geometry.

Cell: 5.743 5.743 5.743 Å, 137.77 137.77 61.25°
Atoms (fractional coordinates):
Ce (0.000, 0.000, 0.000)
Si (0.269, 0.769, 0.500)
Si (0.425, 0.425, 0.000)
Si (0.769, 0.269, 0.500)
Ru (0.659, 0.659, 0.000)

Output
- Space-group type: I4mm (107)
- ρ: 6.4 g cm⁻³
- Formation energy without anion corrections: -0.74 eV per atom
- Electronic total energy: -113.14 eV per cell
- Spin magnetization: 0.0 Bohr magnetons per cell



The following is a DFT calculation (SCAN) of RuRh2Au at its PBEsol-relaxed geometry.

Cell: 2.708 2.708 7.761 Å, 90.00 90.00 90.00°
Atoms (fractional coordinates):
Ru (0.000, 0.000, 0.000)
Rh (0.000, 0.000, 0.530)
Rh (0.500, 0.500, 0.771)
Au (0.500, 0.500, 0.265)

Output
- Space-group type: P4mm (99)
- ρ: 14.7 g cm⁻³
- Energy of formation from the pure elements: 0.1708 eV/atom
- Electronic total energy: -170.84 eV per cell
- Spin magnetization: 0.0 Bohr magnetons per cell



The following is a DFT calculation (SCAN) of Li7W5O16 at its PBEsol-relaxed geometry.

Cell: 5.901 5.901 9.507 Å, 91.09 91.09 58.93°
Atoms (fractional coordinates):
Li (0.000, 0.000, 0.000)
Li (0.169, 0.658, 0.517)
Li (0.190, 0.190, 0.337)
Li (0.514, 0.514, 0.814)
Li (0.658, 0.169, 0.517)
Li (0.829, 0.829, 0.728)
Li (0.951, 0.951, 0.272)
W (0.029, 0.479, 0.019)
W (0.163, 0.163, 0.720)
W (0.479, 0.029, 0.019)
W (0.502, 0.502, 0.255)
W (0.654, 0.654, 0.480)
O (0.002, 0.002, 0.649)
O (0.161, 0.161, 0.139)
O (0.182, 0.649, 0.126)
O (0.319, 0.838, 0.371)
O (0.329, 0.329, 0.870)
O (0.334, 0.894, 0.878)
O (0.365, 0.365, 0.369)
O (0.483, 0.997, 0.625)
O (0.524, 0.524, 0.610)
O (0.649, 0.182, 0.126)
O (0.663, 0.663, 0.123)
O (0.821, 0.821, 0.415)
O (0.828, 0.828, 0.919)
O (0.838, 0.319, 0.371)
O (0.894, 0.334, 0.878)
O (0.997, 0.483, 0.625)

Output
- Space-group type: Cm (8)
- ρ: 7.2 g cm⁻³
- Formation energy without anion corrections: -2.25 eV per atom
- Electronic total energy: -527.77 eV per cell
- Spin magnetization: 0.9 Bohr magnetons per cell



The following is a DFT calculation (SCAN) of BaCdRhN2 at its PBEsol-relaxed geometry.

Cell: 4.208 4.208 4.949 Å, 90.00 90.00 90.00°
Atoms (fractional coordinates):
Ba (0.000, 0.000, 0.000)
Cd (0.500, 0.500, 0.000)
Rh (0.500, 0.500, 0.500)
N (0.000, 0.500, 0.500)
N (0.500, 0.000, 0.500)

Output
- Space-group type: P4/mmm (123)
- ρ: 7.2 g cm⁻³
- Formation energy without anion corrections: 0.66 eV per atom
- Electronic total energy: -119.03 eV per cell
- Spin magnetization: 2.6 Bohr magnetons per cell



The following is a DFT calculation (SCAN) of TlMoP3 at its PBEsol-relaxed geometry.

Cell: 4.915 4.915 4.915 Å, 90.00 90.00 90.00°
Atoms (fractional coordinates):
Tl (0.000, 0.000, 0.000)
Mo (0.500, 0.500, 0.500)
P (0.000, 0.000, 0.500)
P (0.000, 0.500, 0.000)
P (0.500, 0.000, 0.000)

Output
- Space-group type: Pm-3m (221)
- ρ: 5.5 g cm⁻³
- Energy of formation from the pure elements: 1.9448 eV/atom
- Electronic total energy: -128.72 eV per cell
- Spin magnetization: 2.4 Bohr magnetons per cell



The following is a DFT calculation (SCAN) of KMo2As2 at its PBEsol-relaxed geometry.

Cell: 8.109 8.109 8.109 Å, 153.23 153.23 38.22°
Atoms (fractional coordinates):
K (0.000, 0.000, 0.000)
Mo (0.250, 0.750, 0.500)
Mo (0.750, 0.250, 0.500)
As (0.366, 0.366, 0.000)
As (0.634, 0.634, 0.000)

Output
- Space-group type: I4/mmm (139)
- ρ: 5.9 g cm⁻³
- Energy of formation from the pure elements: -0.3603 eV/atom
- Electronic total energy: -120.28 eV per cell
- Spin magnetization: 0.0 Bohr magnetons per cell



What did the sixth record say?
The following is a DFT calculation (SCAN) of BaCdRhN2 at its PBEsol-relaxed geometry.

Cell: 4.208 4.208 4.949 Å, 90.00 90.00 90.00°
Atoms (fractional coordinates):
Ba (0.000, 0.000, 0.000)
Cd (0.500, 0.500, 0.000)
Rh (0.500, 0.500, 0.500)
N (0.000, 0.500, 0.500)
N (0.500, 0.000, 0.500)

Output
- Space-group type: P4/mmm (123)
- ρ: 7.2 g cm⁻³
- Formation energy without anion corrections: 0.66 eV per atom
- Electronic total energy: -119.03 eV per cell
- Spin magnetization: 2.6 Bohr magnetons per cell



Q: spin magnetization of number 4 (RuRh2Au)?
A: 0.0 Bohr magnetons per cell



Q: Which of these has the lowest electronic total energy?
A: K3Ba7Ti10O27F3



Q: Among the records above, which one has the lowest electronic total energy?
A: K3Ba7Ti10O27F3